[1]
Material: AlGaSn2
Method: DFT, PBE
State: relaxed

Unit cell a=5.6584 b=5.6584 c=8.3739 alpha=70.25 beta=70.25 gamma=90.00
Atoms (fractional coordinates):
Al (0.2500, 0.7500, 0.5000)
Al (0.5000, 0.5000, 0.0000)
Ga (0.0000, 0.0000, 0.0000)
Ga (0.7500, 0.2500, 0.5000)
Sn (0.3750, 0.3746, 0.7500)
Sn (0.6254, 0.1250, 0.2500)
Sn (0.8750, 0.8754, 0.7500)
Sn (0.1246, 0.6250, 0.2500)

Results
For the size of the total moment, the calculation gives 0.00 μB per atom. The calculation puts the formation energy at 0.82 eV per formula unit. Its total DFT energy (no corrections) is -27.90 eV/cell.

[2]
Material: InTe2CI
Method: DFT, PBE
State: relaxed

Unit cell a=5.7961 b=5.7961 c=5.8420 alpha=90.00 beta=90.00 gamma=90.00
Atoms (fractional coordinates):
Te (0.5000, 0.0000, 0.0000)
Te (0.0000, 0.5000, 0.0000)
C (0.5000, 0.5000, 0.5000)
In (0.0000, 0.0000, 0.0000)
I (0.0000, 0.0000, 0.5000)

Results
As for the uncorrected formation energy: 1.7022 eV per atom. For the size of the total moment, the calculation gives 0.04 μB per atom. Its total DFT energy (no corrections) is -11.28 eV/cell.

Q: Among the records above, which one has the highest total DFT energy (no corrections)?
A: InTe2CI

Q: The highest size of the total moment belongs to which entry?
A: InTe2CI